A relaxed Sc3CdPt crystal, computed with PBE.

Cell: 5.0982 5.0982 5.0982 Å, 90.00 90.00 90.00°
Atoms (fractional coordinates):
Sc1 0.0000 0.5000 0.0000
Sc2 0.0000 0.0000 0.5000
Sc3 0.5000 0.0000 0.0000
Pt1 0.0000 0.0000 0.0000
Cd1 0.5000 0.5000 0.5000

Output
SG	Pm-3m, No. 221
D(E_F)	10.7	states/eV per cell
energy of formation	-143	kJ/mol of formula units
relative energy among the computed polymorphs	0	meV/atom
uncorrected energy	-5.486	eV per atom
magnetic moment	0.0	μB per cell